Entry 1:
Below is a geometry-optimized Ca2PmPd structure, with properties calculated at the PBE level.

Results
- volume (Å³/atom) = 32.53
- DOS at the Fermi energy (states/eV/f.u.) = 3.5
- calculated formation energy (meV/atom) = -94.2
- excess energy over the best structure of this formula in the dataset (eV/atom) = 0.294
- SG = No. 166

a = 3.704 Å, b = 3.704 Å, c = 11.159 Å
α = 80.45°, β = 80.45°, γ = 60.00°
Fractional coordinates of all 4 atoms:
Ca1 0.109 0.109 0.672
Ca2 0.891 0.891 0.328
Pm1 0.000 0.000 0.000
Pd1 0.500 0.500 0.500

***

Entry 2:
Below is a geometry-optimized In3Au8 structure, with properties calculated at the PBE level.

Results
- volume (Å³/atom) = 22.48
- DOS at the Fermi energy (states/eV/f.u.) = 5.0
- calculated formation energy (meV/atom) = 26.5
- excess energy over the best structure of this formula in the dataset (eV/atom) = 0.141
- SG = No. 148

a = 6.331 Å, b = 6.331 Å, c = 6.331 Å
α = 97.14°, β = 97.14°, γ = 97.14°
Fractional coordinates of all 11 atoms:
Au1 0.077 0.929 0.316
Au2 0.929 0.316 0.077
Au3 0.684 0.923 0.071
Au4 0.071 0.684 0.923
Au5 0.645 0.645 0.645
Au6 0.316 0.077 0.929
Au7 0.355 0.355 0.355
Au8 0.923 0.071 0.684
In1 0.000 0.500 0.500
In2 0.500 0.500 0.000
In3 0.500 0.000 0.500

***

Entry 3:
Below is a geometry-optimized Dy5Sb2N structure, with properties calculated at the PBE level.

Results
- volume (Å³/atom) = 31.53
- DOS at the Fermi energy (states/eV/f.u.) = 8.8
- formation energy without anion corrections (meV per atom) = -524
- SG = No. 63

a = 5.335 Å, b = 8.070 Å, c = 12.416 Å
α = 90.00°, β = 90.00°, γ = 109.30°
Fractional coordinates of all 16 atoms:
Dy1 0.927 0.855 0.626
Dy2 0.073 0.145 0.374
Dy3 0.285 0.569 0.411
Dy4 0.300 0.600 0.750
Dy5 0.285 0.569 0.089
Dy6 0.927 0.855 0.874
Dy7 0.715 0.431 0.589
Dy8 0.073 0.145 0.126
Dy9 0.700 0.400 0.250
Dy10 0.715 0.431 0.911
Sb1 0.867 0.734 0.398
Sb2 0.133 0.266 0.898
Sb3 0.867 0.734 0.102
Sb4 0.133 0.266 0.602
N1 0.186 0.372 0.250
N2 0.814 0.628 0.750

***

Entry 4:
Below is a geometry-optimized YCu2Pd7 structure, with properties calculated at the PBE level.

Results
- volume (Å³/atom) = 19.83
- DOS at the Fermi energy (states/eV/f.u.) = 10.2
- calculated formation energy (meV/atom) = 98.3
- SG = No. 65

a = 4.466 Å, b = 7.149 Å, c = 7.149 Å
α = 119.70°, β = 90.00°, γ = 90.00°
Fractional coordinates of all 10 atoms:
Cu1 0.500 0.301 0.699
Cu2 0.500 0.699 0.301
Y1 0.000 0.000 0.000
Pd1 0.000 0.221 0.779
Pd2 0.000 0.779 0.221
Pd3 0.500 0.933 0.695
Pd4 0.500 0.067 0.305
Pd5 0.500 0.695 0.933
Pd6 0.500 0.500 0.500
Pd7 0.500 0.305 0.067